[1]
# LaScZn (GGA-PBE, relaxed)
data_LaScZn
_cell_length_a 10.073
_cell_length_b 6.224
_cell_length_c 6.029
_cell_angle_alpha 90.00
_cell_angle_beta 126.66
_cell_angle_gamma 90.00
_symmetry_space_group_name_H-M 'C 1 2 1'
_symmetry_Int_Tables_number 5
loop_
_symmetry_equiv_pos_as_xyz
'x,y,z'
'-x,y,-z'
'x+1/2,y+1/2,z'
'-x+1/2,y+1/2,-z'
loop_
_atom_site_label
_atom_site_type_symbol
_atom_site_fract_x
_atom_site_fract_y
_atom_site_fract_z
La1 La 0.137 0.000 0.389
Sc1 Sc 0.219 0.709 0.969
Zn1 Zn 0.000 0.446 0.000
Zn2 Zn 0.000 0.447 0.500
# - ΔE_f (eV per atom) = -0.155
# - magnetization (μB/f.u.) = 0.00



[2]
# TbDy2Au (GGA-PBE, relaxed)
data_TbDy2Au
_cell_length_a 4.930
_cell_length_b 11.896
_cell_length_c 7.804
_cell_angle_alpha 90.00
_cell_angle_beta 90.00
_cell_angle_gamma 90.00
_symmetry_space_group_name_H-M 'C m c m'
_symmetry_Int_Tables_number 63
_symmetry_space_group_name_Hall '-C 2c 2'
loop_
_atom_site_label
_atom_site_type_symbol
_atom_site_fract_x
_atom_site_fract_y
_atom_site_fract_z
Tb1 Tb 0.000 0.043 0.250
Dy1 Dy 0.000 0.356 0.035
Au1 Au 0.000 0.204 0.750
# - ΔE_f (eV per atom) = -0.402
# - magnetization (μB/f.u.) = 0.00



[3]
# Rh2C (GGA-PBE, relaxed)
data_Rh2C
_cell_length_a 2.761
_cell_length_b 2.761
_cell_length_c 37.790
_cell_angle_alpha 90.00
_cell_angle_beta 90.00
_cell_angle_gamma 90.00
_symmetry_space_group_name_H-M 'I 41/a m d'
_symmetry_Int_Tables_number 141
loop_
_symmetry_equiv_pos_as_xyz
'x,y,z'
'-x,-y,-z'
'-y+1/4,x+3/4,z+1/4'
'y+1/4,-x+3/4,-z+1/4'
'-x+1/2,-y,z+1/2'
'x+1/2,y,-z+1/2'
'y+1/4,-x+1/4,z+3/4'
'-y+1/4,x+1/4,-z+3/4'
'x,-y,-z'
'-x,y,z'
'-y+1/4,-x+1/4,-z+3/4'
'y+1/4,x+1/4,z+3/4'
'-x+1/2,y,-z+1/2'
'x+1/2,-y,z+1/2'
'y+1/4,x+3/4,-z+1/4'
'-y+1/4,-x+3/4,z+1/4'
'x+1/2,y+1/2,z+1/2'
'-x+1/2,-y+1/2,-z+1/2'
'-y+3/4,x+1/4,z+3/4'
'y+3/4,-x+1/4,-z+3/4'
'-x,-y+1/2,z'
'x,y+1/2,-z'
'y+3/4,-x+3/4,z+1/4'
'-y+3/4,x+3/4,-z+1/4'
'x+1/2,-y+1/2,-z+1/2'
'-x+1/2,y+1/2,z+1/2'
'-y+3/4,-x+3/4,-z+1/4'
'y+3/4,x+3/4,z+1/4'
'-x,y+1/2,-z'
'x,-y+1/2,z'
'y+3/4,x+1/4,-z+3/4'
'-y+3/4,-x+1/4,z+3/4'
loop_
_atom_site_label
_atom_site_type_symbol
_atom_site_fract_x
_atom_site_fract_y
_atom_site_fract_z
Rh1 Rh 0.000 0.250 0.098
Rh2 Rh 0.000 0.250 0.284
C1 C 0.000 0.250 0.807
# - ΔE_f (eV per atom) = 0.456
# - magnetization (μB/f.u.) = 0.00



[4]
# Ag2PbIF (GGA-PBE, relaxed)
data_Ag2PbIF
_cell_length_a 5.395
_cell_length_b 5.395
_cell_length_c 6.570
_cell_angle_alpha 90.00
_cell_angle_beta 90.00
_cell_angle_gamma 90.00
_symmetry_space_group_name_H-M 'P 4/m m m'
_symmetry_Int_Tables_number 123
_symmetry_space_group_name_Hall '-P 4 2'
loop_
_atom_site_label
_atom_site_type_symbol
_atom_site_fract_x
_atom_site_fract_y
_atom_site_fract_z
Ag1 Ag 0.000 0.500 0.000
Pb1 Pb 0.000 0.000 0.500
I1 I 0.000 0.000 0.000
F1 F 0.500 0.500 0.500
# - magnetization (μB/f.u.) = 0.00
# - formation energy without anion corrections (eV per atom) = 0.343



[5]
# Ce2BrCl2 (GGA-PBE, relaxed)
data_Ce2BrCl2
_cell_length_a 12.422
_cell_length_b 5.642
_cell_length_c 8.333
_cell_angle_alpha 90.00
_cell_angle_beta 109.21
_cell_angle_gamma 90.00
_symmetry_space_group_name_H-M 'C 1 2/m 1'
_symmetry_Int_Tables_number 12
loop_
_symmetry_equiv_pos_as_xyz
'x,y,z'
'-x,-y,-z'
'-x,y,-z'
'x,-y,z'
'x+1/2,y+1/2,z'
'-x+1/2,-y+1/2,-z'
'-x+1/2,y+1/2,-z'
'x+1/2,-y+1/2,z'
loop_
_atom_site_label
_atom_site_type_symbol
_atom_site_fract_x
_atom_site_fract_y
_atom_site_fract_z
Ce1 Ce 0.009 0.000 0.282
Ce2 Ce 0.160 0.500 0.573
Br1 Br 0.166 0.000 0.076
Cl1 Cl 0.002 0.500 0.766
Cl2 Cl 0.184 0.000 0.612
# - magnetization (μB/f.u.) = 2.44
# - formation energy without anion corrections (eV per atom) = -1.633



[6]
# Hf2Ti3Ge2 (GGA-PBE, relaxed)
data_Hf2Ti3Ge2
_cell_length_a 10.213
_cell_length_b 3.682
_cell_length_c 7.186
_cell_angle_alpha 90.00
_cell_angle_beta 110.20
_cell_angle_gamma 90.00
_symmetry_space_group_name_H-M 'C 1 2/m 1'
_symmetry_Int_Tables_number 12
loop_
_symmetry_equiv_pos_as_xyz
'x,y,z'
'-x,-y,-z'
'-x,y,-z'
'x,-y,z'
'x+1/2,y+1/2,z'
'-x+1/2,-y+1/2,-z'
'-x+1/2,y+1/2,-z'
'x+1/2,-y+1/2,z'
loop_
_atom_site_label
_atom_site_type_symbol
_atom_site_fract_x
_atom_site_fract_y
_atom_site_fract_z
Hf1 Hf 0.137 0.000 0.292
Ti1 Ti 0.000 0.500 0.500
Ti2 Ti 0.124 0.500 0.951
Ge1 Ge 0.161 0.000 0.709
# - ΔE_f (eV per atom) = -0.490
# - magnetization (μB/f.u.) = 0.00



[7]
# Nb6ReMo3 (GGA-PBE, relaxed)
data_Nb6ReMo3
_cell_length_a 7.950
_cell_length_b 4.584
_cell_length_c 9.720
_cell_angle_alpha 90.00
_cell_angle_beta 105.78
_cell_angle_gamma 90.00
_symmetry_space_group_name_H-M 'P 1 21/m 1'
_symmetry_Int_Tables_number 11
loop_
_symmetry_equiv_pos_as_xyz
'x,y,z'
'-x,-y,-z'
'-x,y+1/2,-z'
'x,-y+1/2,z'
loop_
_atom_site_label
_atom_site_type_symbol
_atom_site_fract_x
_atom_site_fract_y
_atom_site_fract_z
Nb1 Nb 0.046 0.250 0.399
Nb2 Nb 0.147 0.750 0.196
Nb3 Nb 0.252 0.250 0.998
Nb4 Nb 0.349 0.750 0.803
Nb5 Nb 0.350 0.250 0.299
Nb6 Nb 0.447 0.250 0.603
Re1 Re 0.450 0.750 0.099
Mo1 Mo 0.050 0.750 0.899
Mo2 Mo 0.150 0.250 0.700
Mo3 Mo 0.251 0.750 0.500
# - ΔE_f (eV per atom) = -0.157
# - magnetization (μB/f.u.) = 0.00



[8]
# K2AuO2 (GGA-PBE, relaxed)
data_K2AuO2
_cell_length_a 4.008
_cell_length_b 4.008
_cell_length_c 13.647
_cell_angle_alpha 90.00
_cell_angle_beta 90.00
_cell_angle_gamma 90.00
_symmetry_space_group_name_H-M 'I 4/m m m'
_symmetry_Int_Tables_number 139
_symmetry_space_group_name_Hall '-I 4 2'
loop_
_atom_site_label
_atom_site_type_symbol
_atom_site_fract_x
_atom_site_fract_y
_atom_site_fract_z
K1 K 0.000 0.000 0.158
Au1 Au 0.000 0.000 0.500
O1 O 0.000 0.000 0.357
# - magnetization (μB/f.u.) = 1.00
# - formation energy without anion corrections (eV per atom) = -0.965



Number 1: E_tot -4.33 eV/atom. Number 2: E_tot -4.68 eV/atom. Number 3: E_tot -7.52 eV/atom. Number 4: E_tot -2.22 eV/atom. Number 5: E_tot -5.08 eV/atom. Number 6: E_tot -8.04 eV/atom. Number 7: E_tot -10.69 eV/atom. Number 8: E_tot -4.04 eV/atom.